A relaxed structure of CrSb2, computed with PBE.

a = 5.999 Å, b = 5.999 Å, c = 11.387 Å
α = 90.00°, β = 90.00°, γ = 120.00°
Each line ends with the local moment (μB).
Fractional positions:
1 Sb 0.000 0.000 0.000  -0.02
2 Sb 0.000 0.000 0.500  -0.02
3 Sb 0.833 0.667 0.250  -0.10
4 Sb 0.167 0.333 0.750  -0.10
5 Sb 0.333 0.167 0.250  -0.10
6 Sb 0.833 0.167 0.250  -0.10
7 Sb 0.167 0.833 0.750  -0.10
8 Sb 0.667 0.833 0.750  -0.10
9 Cr 0.333 0.667 0.956  3.89
10 Cr 0.667 0.333 0.456  3.89
11 Cr 0.667 0.333 0.044  3.89
12 Cr 0.333 0.667 0.544  3.89

## Properties
For the density of states at the Fermi level, the calculation gives 0.59 states/eV/atom. Its space group is P6_3/mmc (194). The energy comes out at -62.33 eV per cell. The crystal system is hexagonal. The energy relative to the elements, uncorrected comes out at 762 meV/atom.